This record from Alexandria describes a relaxed MgSeO2 crystal. The functional is PBE. Values from VASP.

Summary:
D(E_F): 0.202 states/eV/atom
E_form (uncorrected): -1.49 eV/atom
relative energy among the computed polymorphs: 0 meV per atom
volume: 12.047 Å³/atom
E: -20.96 eV for the cell shown

Geometry as Quantum ESPRESSO input:
```
&SYSTEM
  ibrav = 0, nat = 4, ntyp = 3
/
ATOMIC_SPECIES
Mg 24.30 Mg.upf
Se 78.96 Se.upf
O 16.00 O.upf
ATOMIC_POSITIONS crystal
Mg 0.0000 0.0000 0.0000
Se 0.5000 0.5000 0.5000
O 0.3946 0.3946 0.3946
O 0.6054 0.6054 0.6054
CELL_PARAMETERS angstrom
1.5208 0.8781 6.0141
-1.5208 0.8781 6.0141
0.0000 -1.7561 6.0141
```


This record from Alexandria describes a relaxed MgSeO crystal. The functional is PBE. Values from VASP.

Summary:
D(E_F): 0.264 states/eV/atom
E_form (uncorrected): -0.94 eV/atom
volume: 21.491 Å³/atom
E: -25.71 eV for the cell shown

Geometry as Quantum ESPRESSO input:
```
&SYSTEM
  ibrav = 0, nat = 6, ntyp = 3
/
ATOMIC_SPECIES
Mg 24.30 Mg.upf
Se 78.96 Se.upf
O 16.00 O.upf
ATOMIC_POSITIONS crystal
Mg 0.0215 0.0215 0.2524
Mg 0.9785 0.9785 0.7476
Se 0.1471 0.1471 0.6616
Se 0.8529 0.8529 0.3384
O 0.4481 0.4481 0.8981
O 0.5519 0.5519 0.1019
CELL_PARAMETERS angstrom
6.8402 -1.5090 0.0000
6.8402 1.5090 0.0000
-2.7822 0.0000 6.2463
```


This record from Alexandria describes a relaxed MgSe2O4 crystal. The functional is PBE. Values from VASP.

Summary:
D(E_F): 0.151 states/eV/atom
E_form (uncorrected): -1.08 eV/atom
volume: 15.780 Å³/atom
E: -143.78 eV for the cell shown

Geometry as Quantum ESPRESSO input:
```
&SYSTEM
  ibrav = 0, nat = 28, ntyp = 3
/
ATOMIC_SPECIES
Mg 24.30 Mg.upf
Se 78.96 Se.upf
O 16.00 O.upf
ATOMIC_POSITIONS crystal
Mg 0.0000 0.5000 0.2500
Mg 0.0000 0.5000 0.7500
Mg 0.5000 0.0000 0.2500
Mg 0.5000 0.0000 0.7500
Se 0.1869 0.2003 0.0000
Se 0.2003 0.8131 0.5000
Se 0.2997 0.3131 0.5000
Se 0.3131 0.7003 0.0000
Se 0.6869 0.2997 0.0000
Se 0.7003 0.6869 0.5000
Se 0.7997 0.1869 0.5000
Se 0.8131 0.7997 0.0000
O 0.1059 0.6256 0.0000
O 0.1256 0.6059 0.5000
O 0.1886 0.3114 0.2500
O 0.1886 0.3114 0.7500
O 0.3114 0.8114 0.2500
O 0.3114 0.8114 0.7500
O 0.3744 0.1059 0.5000
O 0.3941 0.1256 0.0000
O 0.6059 0.8744 0.0000
O 0.6256 0.8941 0.5000
O 0.6886 0.1886 0.2500
O 0.6886 0.1886 0.7500
O 0.8114 0.6886 0.2500
O 0.8114 0.6886 0.7500
O 0.8744 0.3941 0.5000
O 0.8941 0.3744 0.0000
CELL_PARAMETERS angstrom
7.9827 0.0000 0.0000
0.0000 7.9827 0.0000
0.0000 0.0000 6.9339
```


This record from Alexandria describes a relaxed Mg2SeO6 crystal. The functional is PBE. Values from VASP.

Summary:
D(E_F): 0.502 states/eV/atom
E_form (uncorrected): -1.27 eV/atom
volume: 10.873 Å³/atom
E: -95.69 eV for the cell shown

Geometry as Quantum ESPRESSO input:
```
&SYSTEM
  ibrav = 0, nat = 18, ntyp = 3
/
ATOMIC_SPECIES
Mg 24.30 Mg.upf
Se 78.96 Se.upf
O 16.00 O.upf
ATOMIC_POSITIONS crystal
Mg 0.0000 0.0000 0.1668
Mg 0.0000 0.0000 0.8332
Mg 0.5000 0.5000 0.3332
Mg 0.5000 0.5000 0.6668
Se 0.0000 0.0000 0.5000
Se 0.5000 0.5000 0.0000
O 0.1860 0.1860 0.3537
O 0.1860 0.1860 0.6463
O 0.2267 0.2267 0.0000
O 0.2733 0.7267 0.5000
O 0.3140 0.6860 0.1463
O 0.3140 0.6860 0.8537
O 0.6860 0.3140 0.1463
O 0.6860 0.3140 0.8537
O 0.7267 0.2733 0.5000
O 0.7733 0.7733 0.0000
O 0.8140 0.8140 0.3537
O 0.8140 0.8140 0.6463
CELL_PARAMETERS angstrom
4.6437 0.0000 0.0000
0.0000 4.6437 0.0000
0.0000 0.0000 9.0762
```


Q: volume of number 3 (MgSe2O4)?
A: 15.780 Å³/atom


Q: The highest volume belongs to which entry?
A: MgSeO


What did the third record say?
This record from Alexandria describes a relaxed MgSe2O4 crystal. The functional is PBE. Values from VASP.

Summary:
D(E_F): 0.151 states/eV/atom
E_form (uncorrected): -1.08 eV/atom
volume: 15.780 Å³/atom
E: -143.78 eV for the cell shown

Geometry as Quantum ESPRESSO input:
```
&SYSTEM
  ibrav = 0, nat = 28, ntyp = 3
/
ATOMIC_SPECIES
Mg 24.30 Mg.upf
Se 78.96 Se.upf
O 16.00 O.upf
ATOMIC_POSITIONS crystal
Mg 0.0000 0.5000 0.2500
Mg 0.0000 0.5000 0.7500
Mg 0.5000 0.0000 0.2500
Mg 0.5000 0.0000 0.7500
Se 0.1869 0.2003 0.0000
Se 0.2003 0.8131 0.5000
Se 0.2997 0.3131 0.5000
Se 0.3131 0.7003 0.0000
Se 0.6869 0.2997 0.0000
Se 0.7003 0.6869 0.5000
Se 0.7997 0.1869 0.5000
Se 0.8131 0.7997 0.0000
O 0.1059 0.6256 0.0000
O 0.1256 0.6059 0.5000
O 0.1886 0.3114 0.2500
O 0.1886 0.3114 0.7500
O 0.3114 0.8114 0.2500
O 0.3114 0.8114 0.7500
O 0.3744 0.1059 0.5000
O 0.3941 0.1256 0.0000
O 0.6059 0.8744 0.0000
O 0.6256 0.8941 0.5000
O 0.6886 0.1886 0.2500
O 0.6886 0.1886 0.7500
O 0.8114 0.6886 0.2500
O 0.8114 0.6886 0.7500
O 0.8744 0.3941 0.5000
O 0.8941 0.3744 0.0000
CELL_PARAMETERS angstrom
7.9827 0.0000 0.0000
0.0000 7.9827 0.0000
0.0000 0.0000 6.9339
```


Q: Which value of D(E_F) does entry 4 give?
A: 0.502 states/eV/atom